Record 1
{"formula": "Nd2Y2CCl5", "functional": "PBE-GGA", "state": "relaxed", "total_energy_ev_per_atom": -5.7927, "m_tot_mub_per_fu": 0.02, "space_group": "C2/m (12)", "cell": [[8.649, -1.917, 0.000], [8.649, 1.917, 0.000], [-1.892, 0.000, 7.910]], "species": ["Nd", "Nd", "Y", "Y", "C", "Cl", "Cl", "Cl", "Cl", "Cl"], "frac_coords": [[0.002, 0.002, 0.286], [0.998, 0.998, 0.714], [0.357, 0.357, 0.422], [0.643, 0.643, 0.578], [0.500, 0.500, 0.500], [0.168, 0.168, 0.823], [0.175, 0.175, 0.356], [0.500, 0.500, 0.000], [0.825, 0.825, 0.644], [0.832, 0.832, 0.177]]}

=====

Record 2
{"formula": "K3Ir2O6", "functional": "PBE-GGA", "state": "relaxed", "total_energy_ev_per_atom": -5.7574, "m_tot_mub_per_fu": 0.01, "space_group": "R-3 (148)", "cell": [[5.370, 3.100, 3.515], [-5.370, 3.100, 3.515], [0.000, -6.201, 3.515]], "species": ["K", "K", "K", "K", "K", "K", "Ir", "Ir", "Ir", "Ir", "O", "O", "O", "O", "O", "O", "O", "O", "O", "O", "O", "O"], "frac_coords": [[0.053, 0.634, 0.287], [0.287, 0.053, 0.634], [0.366, 0.713, 0.947], [0.634, 0.287, 0.053], [0.713, 0.947, 0.366], [0.947, 0.366, 0.713], [0.000, 0.000, 0.000], [0.251, 0.251, 0.251], [0.500, 0.500, 0.500], [0.749, 0.749, 0.749], [0.000, 0.280, 0.096], [0.000, 0.720, 0.904], [0.096, 0.000, 0.280], [0.224, 0.398, 0.507], [0.280, 0.096, 0.000], [0.398, 0.507, 0.224], [0.493, 0.776, 0.602], [0.507, 0.224, 0.398], [0.602, 0.493, 0.776], [0.720, 0.904, 0.000], [0.776, 0.602, 0.493], [0.904, 0.000, 0.720]]}

=====

Record 3
{"formula": "LuCdInTe3", "functional": "PBE-GGA", "state": "relaxed", "total_energy_ev_per_atom": -3.6486, "m_tot_mub_per_fu": 0.00, "space_group": "Pnma (62)", "cell": [[11.541, 0.000, 0.000], [0.000, 4.417, 0.000], [0.000, 0.000, 15.116]], "species": ["Lu", "Lu", "Lu", "Lu", "Cd", "Cd", "Cd", "Cd", "In", "In", "In", "In", "Te", "Te", "Te", "Te", "Te", "Te", "Te", "Te", "Te", "Te", "Te", "Te"], "frac_coords": [[0.014, 0.250, 0.247], [0.486, 0.750, 0.747], [0.514, 0.250, 0.253], [0.986, 0.750, 0.753], [0.239, 0.250, 0.716], [0.261, 0.750, 0.216], [0.739, 0.250, 0.784], [0.761, 0.750, 0.284], [0.230, 0.750, 0.512], [0.270, 0.250, 0.012], [0.730, 0.750, 0.988], [0.770, 0.250, 0.488], [0.033, 0.250, 0.616], [0.061, 0.750, 0.110], [0.237, 0.750, 0.835], [0.263, 0.250, 0.335], [0.439, 0.250, 0.610], [0.467, 0.750, 0.116], [0.533, 0.250, 0.884], [0.561, 0.750, 0.390], [0.737, 0.750, 0.665], [0.763, 0.250, 0.165], [0.939, 0.250, 0.890], [0.967, 0.750, 0.384]]}